Below is a relaxed structure of LaPrPt, with properties calculated at the PBE level.

a b c (Å): 4.239 7.003 7.176
angles (deg): 82.63 72.85 89.98
Space group P1 (No. 1)
Asymmetric unit:
La: 0.000 0.000 0.000 x1
La: 0.249 0.746 0.502 x1
Pr: 0.500 0.494 0.001 x1
Pr: 0.750 0.248 0.497 x1
Pt: 0.622 0.878 0.756 x1
Pt: 0.877 0.619 0.246 x1

* energy relative to the elements: -2.1 eV/f.u.
* polymorph energy (0 for the lowest one): 0 meV/atom

***

Below is a relaxed structure of OsRuPt2, with properties calculated at the PBE level.

a b c (Å): 2.755 2.755 7.816
angles (deg): 90.00 90.00 90.00
Space group P4/mmm (No. 123)
Asymmetric unit:
Os: 0.000 0.000 0.000 x1
Ru: 0.000 0.000 0.500 x1
Pt: 0.500 0.500 0.249 x2

* energy relative to the elements: 0.7 eV/f.u.
* polymorph energy (0 for the lowest one): 174 meV/atom